VASP calculation (PBE) on PaTeBr3 after structural relaxation.

Cell and atoms, written as CIF:
```
data_PaTeBr3
_space_group_name_H-M_alt 'P m n 21'
_space_group_IT_number 31
_space_group_name_Hall 'P 2ac -2'
_cell_length_a 7.942
_cell_length_b 7.711
_cell_length_c 6.760
_cell_angle_alpha 90.00
_cell_angle_beta 90.00
_cell_angle_gamma 90.00
loop_
_atom_site_label
_atom_site_type_symbol
_atom_site_fract_x
_atom_site_fract_y
_atom_site_fract_z
Pa1 Pa 0.000 0.000 0.000
Te1 Te 0.000 0.300 0.779
Br1 Br 0.000 0.713 0.220
Br2 Br 0.249 0.162 0.252
```

## Properties
* E_form (uncorrected): -1.048 eV per atom
* E_tot: -45.8 eV for the cell shown